Record 1
VASP calculation (GGA-PBE) on TaCrAs4 after structural relaxation.

extended XYZ file:
```
6
Lattice="0.0000 3.8213 3.8213 3.8213 0.0000 3.8213 3.8213 3.8213 0.0000" Properties=species:S:1:pos:R:3 pbc="T T T"
Ta 0.0000 0.0000 0.0000
Cr 1.9106 1.9106 1.9106
As 4.7788 2.8637 2.8637
As 2.8637 4.7788 2.8637
As 2.8637 2.8637 4.7788
As 4.7788 4.7788 4.7788
```

formation energy from the elements = 750 meV per atom
magnetic moment = 3.5 μB/f.u.
symmetry = F-43m (216)
VASP energy = -35.57 eV/cell
DOS(E_F) = 5.178 states/eV/f.u.

Record 2
VASP calculation (GGA-PBE) on SiOs2Br after structural relaxation.

extended XYZ file:
```
4
Lattice="2.9248 0.0000 0.0000 0.0000 3.6743 0.0000 -1.1857 0.0000 6.5962" Properties=species:S:1:pos:R:3 pbc="T T T"
Si 0.0000 0.0000 0.0000
Os 0.8637 1.8371 1.1349
Os 0.8753 1.8371 5.4613
Br 0.8695 0.0000 3.2981
```

ΔE_f (raw) = 0.6543 eV per atom
magnetic moment = 0.0 μB/f.u.
symmetry = P2/m (10)
VASP energy = -26.94 eV/cell
DOS(E_F) = 3.590 states/eV/f.u.
E above lowest polymorph = 187 meV per atom